No. 1
Computed, not measured: a relaxed structure of RbScSb2Au2 at the PBE level of DFT.

Computed properties:
VASP energy ... -25.69 eV for the cell shown
Magnetic moment ... 0.00 μB per cell
ΔE_f (raw) ... -0.60 eV/atom
Space group ... P-3m1, No. 164

Unit cell a=4.6109 b=4.6109 c=9.3340 alpha=90.00 beta=90.00 gamma=120.00
Positions (direct):
Rb1 0.0000 0.0000 0.0000
Sc1 0.0000 0.0000 0.5000
Sb1 0.3333 0.6667 0.7159
Sb2 0.6667 0.3333 0.2841
Au1 0.3333 0.6667 0.3564
Au2 0.6667 0.3333 0.6436

=====

No. 2
Computed, not measured: a relaxed structure of Cr4TePb at the PBE level of DFT.

Computed properties:
VASP energy ... -41.21 eV for the cell shown
Magnetic moment ... 0.14 μB per cell
ΔE_f (raw) ... 0.69 eV/atom
Space group ... F-43m, No. 216

Unit cell a=5.1102 b=5.1102 c=5.1102 alpha=60.00 beta=60.00 gamma=60.00
Positions (direct):
Cr1 0.3757 0.3757 0.3757
Cr2 0.3757 0.3757 0.8730
Cr3 0.3757 0.8730 0.3757
Cr4 0.8730 0.3757 0.3757
Te1 0.7500 0.7500 0.7500
Pb1 0.0000 0.0000 0.0000

=====

No. 3
Computed, not measured: a relaxed structure of Tb2PrIn2Ag2 at the PBE level of DFT.

Computed properties:
VASP energy ... -27.31 eV for the cell shown
Magnetic moment ... 0.00 μB per cell
DFT formation energy ... -2.091 eV per formula unit
Space group ... R-3m, No. 166

Unit cell a=9.4410 b=9.4410 c=9.4410 alpha=30.08 beta=30.08 gamma=30.08
Positions (direct):
Tb1 0.1273 0.1273 0.1273
Tb2 0.8727 0.8727 0.8727
Pr1 0.0000 0.0000 0.0000
In1 0.2577 0.2577 0.2577
In2 0.7423 0.7423 0.7423
Ag1 0.4065 0.4065 0.4065
Ag2 0.5935 0.5935 0.5935

=====

No. 4
Computed, not measured: a relaxed structure of KI at the PBE level of DFT.

Computed properties:
VASP energy ... -11.07 eV for the cell shown
Magnetic moment ... 0.00 μB per cell
ΔE_f (raw) ... -1.44 eV/atom
Space group ... P6_3/mmc, No. 194

Unit cell a=6.0708 b=6.0708 c=7.1025 alpha=90.00 beta=90.00 gamma=120.00
Positions (direct):
K1 0.3333 0.6667 0.2500
K2 0.6667 0.3333 0.7500
I1 0.3333 0.6667 0.7500
I2 0.6667 0.3333 0.2500

=====

No. 5
Computed, not measured: a relaxed structure of CaCrMo2 at the PBE level of DFT.

Computed properties:
VASP energy ... -62.06 eV for the cell shown
Magnetic moment ... 0.00 μB per cell
DFT formation energy ... 2.256 eV per formula unit
Space group ... Cmmm, No. 65
Distance to the lowest polymorph of the same formula ... 0.000 eV/atom

Unit cell a=3.2170 b=4.5491 c=9.3109 alpha=90.00 beta=90.00 gamma=90.00
Positions (direct):
Ca1 0.0000 0.0000 0.0000
Ca2 0.5000 0.5000 0.0000
Cr1 0.0000 0.0000 0.5000
Cr2 0.5000 0.5000 0.5000
Mo1 0.0000 0.5000 0.2911
Mo2 0.0000 0.5000 0.7089
Mo3 0.5000 0.0000 0.2911
Mo4 0.5000 0.0000 0.7089

=====

No. 6
Computed, not measured: a relaxed structure of Ce2As4Ru5 at the PBE level of DFT.

Computed properties:
VASP energy ... -82.56 eV for the cell shown
Magnetic moment ... 1.23 μB per cell
DFT formation energy ... -5.720 eV per formula unit
Space group ... Fmmm, No. 69

Unit cell a=8.7570 b=7.7802 c=5.6906 alpha=79.44 beta=60.86 gamma=39.70
Positions (direct):
Ce1 0.1250 0.1250 0.8750
Ce2 0.8750 0.8750 0.1250
As1 0.2117 0.5289 0.4711
As2 0.4711 0.7883 0.2117
As3 0.5289 0.2117 0.7883
As4 0.7883 0.4711 0.5289
Ru1 0.0000 0.0000 0.5000
Ru2 0.2500 0.2500 0.2500
Ru3 0.5000 0.5000 0.0000
Ru4 0.5000 0.5000 0.5000
Ru5 0.7500 0.7500 0.7500

=====

No. 7
Computed, not measured: a relaxed structure of TaCrRe at the PBE level of DFT.

Computed properties:
VASP energy ... -34.09 eV for the cell shown
Magnetic moment ... 0.00 μB per cell
DFT formation energy ... -0.169 eV per formula unit
Space group ... P3m1, No. 156
Distance to the lowest polymorph of the same formula ... 0.074 eV/atom

Unit cell a=4.3637 b=4.3637 c=2.7297 alpha=90.00 beta=90.00 gamma=120.00
Positions (direct):
Ta1 0.0000 0.0000 0.0000
Cr1 0.6667 0.3333 0.3351
Re1 0.3333 0.6667 0.6498

=====

No. 8
Computed, not measured: a relaxed structure of ScIO2 at the PBE level of DFT.

Computed properties:
VASP energy ... -58.08 eV for the cell shown
Magnetic moment ... 0.00 μB per cell
ΔE_f (raw) ... -0.39 eV/atom
Space group ... R-3m, No. 166
Distance to the lowest polymorph of the same formula ... 1.525 eV/atom

Unit cell a=4.0461 b=4.0461 c=15.9141 alpha=90.00 beta=90.00 gamma=120.00
Positions (direct):
Sc1 0.0000 0.0000 0.0000
Sc2 0.3333 0.6667 0.6667
Sc3 0.6667 0.3333 0.3333
I1 0.0000 0.0000 0.5000
I2 0.3333 0.6667 0.1667
I3 0.6667 0.3333 0.8333
O1 0.0000 0.0000 0.1239
O2 0.0000 0.0000 0.8761
O3 0.3333 0.6667 0.5428
O4 0.3333 0.6667 0.7905
O5 0.6667 0.3333 0.2095
O6 0.6667 0.3333 0.4572

=====

No. 9
Computed, not measured: a relaxed structure of Pm2CuSn3Rh4 at the PBE level of DFT.

Computed properties:
VASP energy ... -61.12 eV for the cell shown
Magnetic moment ... 0.00 μB per cell
DFT formation energy ... -6.109 eV per formula unit
Space group ... P-4m2, No. 115

Unit cell a=4.3128 b=4.3128 c=11.1574 alpha=90.00 beta=90.00 gamma=90.00
Positions (direct):
Pm1 0.0000 0.5000 0.2377
Pm2 0.5000 0.0000 0.7623
Cu1 0.5000 0.5000 0.0000
Sn1 0.0000 0.0000 0.0000
Sn2 0.0000 0.5000 0.6325
Sn3 0.5000 0.0000 0.3675
Rh1 0.0000 0.0000 0.5000
Rh2 0.0000 0.5000 0.8653
Rh3 0.5000 0.0000 0.1347
Rh4 0.5000 0.5000 0.5000

=====

No. 10
Computed, not measured: a relaxed structure of Dy2Cd3Ag4 at the PBE level of DFT.

Computed properties:
VASP energy ... -49.83 eV for the cell shown
Magnetic moment ... 0.00 μB per cell
DFT formation energy ... -1.560 eV per formula unit
Space group ... Cmce, No. 64
Distance to the lowest polymorph of the same formula ... 0.063 eV/atom

Unit cell a=9.0377 b=9.0377 c=8.0373 alpha=90.00 beta=90.00 gamma=142.15
Positions (direct):
Dy1 0.0970 0.9030 0.8960
Dy2 0.4030 0.5970 0.3960
Dy3 0.5970 0.4030 0.6040
Dy4 0.9030 0.0970 0.1040
Cd1 0.0000 0.0000 0.5000
Cd2 0.0116 0.4884 0.7500
Cd3 0.4884 0.0116 0.2500
Cd4 0.5000 0.5000 0.0000
Cd5 0.5116 0.9884 0.7500
Cd6 0.9884 0.5116 0.2500
Ag1 0.1649 0.8351 0.5220
Ag2 0.1794 0.3206 0.7500
Ag3 0.3206 0.1794 0.2500
Ag4 0.3351 0.6649 0.0220
Ag5 0.6649 0.3351 0.9780
Ag6 0.6794 0.8206 0.7500
Ag7 0.8206 0.6794 0.2500
Ag8 0.8351 0.1649 0.4780

=====

No. 11
Computed, not measured: a relaxed structure of CeVCl at the PBE level of DFT.

Computed properties:
VASP energy ... -73.38 eV for the cell shown
Magnetic moment ... 3.03 μB per cell
ΔE_f (raw) ... -0.48 eV/atom
Space group ... Cmcm, No. 63

Unit cell a=3.3579 b=22.4264 c=4.0747 alpha=90.00 beta=90.00 gamma=90.00
Positions (direct):
Ce1 0.0000 0.1015 0.2500
Ce2 0.0000 0.8985 0.7500
Ce3 0.5000 0.3985 0.7500
Ce4 0.5000 0.6015 0.2500
V1 0.0000 0.4832 0.2500
V2 0.0000 0.5168 0.7500
V3 0.5000 0.0168 0.7500
V4 0.5000 0.9832 0.2500
Cl1 0.0000 0.1833 0.7500
Cl2 0.0000 0.8167 0.2500
Cl3 0.5000 0.3167 0.2500
Cl4 0.5000 0.6833 0.7500